The following is a DFT calculation (meta-GGA SCAN) of a crystal of Be2PBr relaxed with PBEsol.

a = 4.1227 Å, b = 4.1227 Å, c = 6.5261 Å
α = 90.00°, β = 90.00°, γ = 126.53°
Last column: nearest neighbours and their distance in Å.
Sites, in units of the cell vectors:
Be (0.0000, 0.0000, 0.0000)  2 P 1.97
Be (0.5000, 0.5000, 0.2030)  1 P 2.00
P (0.5000, 0.5000, 0.8962)  3 Be 1.97-2.00
Br (0.0000, 0.0000, 0.3984)  2 Be 2.25

Output
- Crystal system: orthorhombic
- Calculated density: 2.4 g/cm3
- Uncorrected formation energy: -0.118 eV per atom



The following is a DFT calculation (meta-GGA SCAN) of a crystal of GeAu3F relaxed with PBEsol.

a = 4.5138 Å, b = 4.5138 Å, c = 4.5138 Å
α = 90.00°, β = 90.00°, γ = 90.00°
Last column: nearest neighbours and their distance in Å.
Sites, in units of the cell vectors:
Ge (0.0000, 0.0000, 0.0000)  12 Au 3.19
Au (0.0000, 0.5000, 0.5000)  2 F 2.26
Au (0.5000, 0.0000, 0.5000)  2 F 2.26
Au (0.5000, 0.5000, 0.0000)  2 F 2.26
F (0.5000, 0.5000, 0.5000)  6 Au 2.26

Output
- Crystal system: cubic
- Calculated density: 12.3 g/cm3
- Uncorrected formation energy: 0.524 eV per atom



The following is a DFT calculation (meta-GGA SCAN) of a crystal of YMg2Al relaxed with PBEsol.

a = 4.3606 Å, b = 4.3606 Å, c = 4.7082 Å
α = 90.00°, β = 90.00°, γ = 90.00°
Last column: nearest neighbours and their distance in Å.
Sites, in units of the cell vectors:
Y (0.0000, 0.0000, 0.0000)  4 Al 3.08, 8 Mg 3.21
Mg (0.0000, 0.5000, 0.5000)  4 Mg 3.08, 4 Al 3.21, 4 Y 3.21
Mg (0.5000, 0.0000, 0.5000)  4 Mg 3.08, 4 Al 3.21, 4 Y 3.21
Al (0.5000, 0.5000, 0.0000)  4 Y 3.08, 8 Mg 3.21

Output
- Crystal system: tetragonal
- Calculated density: 3.1 g/cm3



The following is a DFT calculation (meta-GGA SCAN) of a crystal of KBiSb2Te relaxed with PBEsol.

a = 5.8698 Å, b = 5.8698 Å, c = 5.9964 Å
α = 90.00°, β = 90.00°, γ = 90.00°
Last column: nearest neighbours and their distance in Å.
Sites, in units of the cell vectors:
K (0.0000, 0.0000, 0.0000)  4 Te 4.15, 8 Sb 4.20
Bi (0.5000, 0.5000, 0.5000)  4 Sb 2.93, 2 Te 3.00
Sb (0.0000, 0.5000, 0.5000)  2 Bi 2.93
Sb (0.5000, 0.0000, 0.5000)  2 Bi 2.93
Te (0.5000, 0.5000, 0.0000)  2 Bi 3.00

Output
- Crystal system: tetragonal
- Calculated density: 5.0 g/cm3
- Uncorrected formation energy: 0.281 eV per atom



The following is a DFT calculation (meta-GGA SCAN) of a crystal of Y2MgAl relaxed with PBEsol.

a = 6.1489 Å, b = 6.1489 Å, c = 6.1489 Å
α = 145.40°, β = 131.04°, γ = 61.33°
Last column: nearest neighbours and their distance in Å.
Sites, in units of the cell vectors:
Y (0.0000, 0.0000, 0.0000)  4 Mg 3.17, 2 Al 3.24, 4 Y 3.41-3.51
Y (0.7283, 0.2283, 0.5000)  4 Al 3.15, 4 Y 3.41-3.51, 4 Mg 3.42-3.50
Mg (0.4552, 0.4552, 0.0000)  2 Al 2.81
Al (0.2531, 0.7531, 0.5000)  2 Mg 2.81, 4 Y 3.15

Output
- Crystal system: orthorhombic
- Calculated density: 3.9 g/cm3



The following is a DFT calculation (meta-GGA SCAN) of a crystal of Li2ZnIn relaxed with PBEsol.

a = 2.9698 Å, b = 4.5362 Å, c = 5.0293 Å
α = 90.00°, β = 90.00°, γ = 90.00°
Last column: nearest neighbours and their distance in Å.
Sites, in units of the cell vectors:
Li (0.0000, 0.0000, 0.0000)  4 Li 2.80-2.97, 4 In 2.86, 4 Zn 2.89-2.95
Li (0.0000, 0.5000, 0.3274)  4 Li 2.80-2.97, 4 Zn 2.84, 4 In 2.88-2.96
Zn (0.5000, 0.0000, 0.4927)  2 In 2.80, 8 Li 2.84-2.95, 2 Zn 2.97
In (0.5000, 0.5000, 0.8180)  2 Zn 2.80, 8 Li 2.86-2.96, 2 In 2.97

Output
- Crystal system: orthorhombic
- Calculated density: 4.8 g/cm3



The following is a DFT calculation (meta-GGA SCAN) of a crystal of YScTl2 relaxed with PBEsol.

a = 9.5534 Å, b = 9.5534 Å, c = 9.5534 Å
α = 21.54°, β = 21.54°, γ = 21.54°
Last column: nearest neighbours and their distance in Å.
Sites, in units of the cell vectors:
Y (0.0000, 0.0000, 0.0000)  6 Tl 3.19, 6 Y 3.57
Sc (0.5000, 0.5000, 0.5000)  6 Tl 3.04
Tl (0.2464, 0.2464, 0.2464)  3 Sc 3.04, 3 Y 3.19
Tl (0.7536, 0.7536, 0.7536)  3 Sc 3.04, 3 Y 3.19

Output
- Crystal system: trigonal
- Calculated density: 8.8 g/cm3



The following is a DFT calculation (meta-GGA SCAN) of a crystal of SrCuHg relaxed with PBEsol.

a = 5.8523 Å, b = 5.8523 Å, c = 5.8523 Å
α = 143.92°, β = 143.92°, γ = 51.94°
Last column: nearest neighbours and their distance in Å.
Sites, in units of the cell vectors:
Sr (0.0000, 0.0000, 0.0000)  5 Hg 3.16-3.31, 5 Cu 3.18-3.30
Cu (0.6977, 0.6977, 0.0000)  4 Hg 2.78
Hg (0.3005, 0.3005, 0.0000)  4 Cu 2.78

Output
- Crystal system: tetragonal
- Calculated density: 8.5 g/cm3



The following is a DFT calculation (meta-GGA SCAN) of a crystal of Sr3SnSe relaxed with PBEsol.

a = 6.1091 Å, b = 6.1091 Å, c = 6.1091 Å
α = 90.00°, β = 90.00°, γ = 90.00°
Last column: nearest neighbours and their distance in Å.
Sites, in units of the cell vectors:
Sr (0.0000, 0.0000, 0.5000)  2 Sn 3.05
Sr (0.0000, 0.5000, 0.0000)  2 Sn 3.05
Sr (0.5000, 0.0000, 0.0000)  2 Sn 3.05
Sn (0.0000, 0.0000, 0.0000)  6 Sr 3.05
Se (0.5000, 0.5000, 0.5000)  12 Sr 4.32

Output
- Crystal system: cubic
- Calculated density: 3.4 g/cm3
- Uncorrected formation energy: -0.592 eV per atom



The following is a DFT calculation (meta-GGA SCAN) of a crystal of Dy2Nb2O7 relaxed with PBEsol.

a = 7.2470 Å, b = 7.2470 Å, c = 7.2470 Å
α = 60.00°, β = 60.00°, γ = 60.00°
Last column: nearest neighbours and their distance in Å.
Sites, in units of the cell vectors:
Dy (0.0000, 0.0000, 0.0000)  8 O 2.22-2.40
Dy (0.0000, 0.0000, 0.5000)  8 O 2.22-2.40
Dy (0.0000, 0.5000, 0.0000)  8 O 2.22-2.40
Dy (0.5000, 0.0000, 0.0000)  8 O 2.22-2.40
Nb (0.0000, 0.5000, 0.5000)  6 O 2.07
Nb (0.5000, 0.0000, 0.5000)  6 O 2.07
Nb (0.5000, 0.5000, 0.0000)  6 O 2.07
Nb (0.5000, 0.5000, 0.5000)  6 O 2.07
O (0.1250, 0.1250, 0.1250)  4 Dy 2.22
O (0.1531, 0.1531, 0.5969)  2 Nb 2.07
O (0.1531, 0.5969, 0.1531)  2 Nb 2.07
O (0.1531, 0.5969, 0.5969)  2 Nb 2.07
O (0.4031, 0.4031, 0.8469)  2 Nb 2.07
O (0.4031, 0.8469, 0.4031)  2 Nb 2.07
O (0.4031, 0.8469, 0.8469)  2 Nb 2.07
O (0.5969, 0.1531, 0.1531)  2 Nb 2.07
O (0.5969, 0.1531, 0.5969)  2 Nb 2.07
O (0.5969, 0.5969, 0.1531)  2 Nb 2.07
O (0.8469, 0.4031, 0.4031)  2 Nb 2.07
O (0.8469, 0.4031, 0.8469)  2 Nb 2.07
O (0.8469, 0.8469, 0.4031)  2 Nb 2.07
O (0.8750, 0.8750, 0.8750)  4 Dy 2.22

Output
- Crystal system: cubic
- Calculated density: 7.7 g/cm3
- Uncorrected formation energy: -3.232 eV per atom



The following is a DFT calculation (meta-GGA SCAN) of a crystal of ZnCu relaxed with PBEsol.

a = 2.6186 Å, b = 2.6186 Å, c = 4.1498 Å
α = 90.00°, β = 90.00°, γ = 120.00°
Last column: nearest neighbours and their distance in Å.
Sites, in units of the cell vectors:
Zn (0.0000, 0.0000, 0.0000)  6 Cu 2.57, 6 Zn 2.62
Cu (0.3333, 0.6667, 0.5000)  6 Zn 2.57, 6 Cu 2.62

Output
- Crystal system: hexagonal
- Calculated density: 8.7 g/cm3



The following is a DFT calculation (meta-GGA SCAN) of a crystal of TiTcW relaxed with PBEsol.

a = 6.8433 Å, b = 6.8433 Å, c = 4.3401 Å
α = 90.00°, β = 90.00°, γ = 153.86°
Last column: nearest neighbours and their distance in Å.
Sites, in units of the cell vectors:
Ti (0.0796, 0.9204, 0.7500)  6 Tc 2.67-2.68, 2 W 2.80
Ti (0.9204, 0.0796, 0.2500)  6 Tc 2.67-2.68, 2 W 2.80
Tc (0.4151, 0.5849, 0.7500)  2 W 2.64, 6 Ti 2.67-2.68
Tc (0.5849, 0.4151, 0.2500)  2 W 2.64, 6 Ti 2.67-2.68
W (0.2453, 0.7547, 0.2500)  2 Tc 2.64, 4 W 2.67, 2 Ti 2.80
W (0.7547, 0.2453, 0.7500)  2 Tc 2.64, 4 W 2.67, 2 Ti 2.80

Output
- Crystal system: orthorhombic
- Calculated density: 12.2 g/cm3



What did we get for final energy? Answer: -9.759 -45.496 -11.613 -39.455 -17.307 -13.190 -47.097 -35.406 -25.157 -21.911 -14.426 -40.703 eV per atom, in the order shown.